A relaxed CsBe2HgCl8 crystal. Source: Alexandria via LeMat-Bulk, functional PBE.

DOS(E_F) in states/eV/f.u.: 18.34
Calculated volume in Å³ per cell: 990.6
Formation energy from raw total energies in eV/atom: -1.126

Lattice parameters (Å, degrees): 6.2551 6.2551 29.2359 90.00 90.00 120.00
Last column: nearest neighbours and their distance in Å.
Space group R-3 (No. 148, hexagonal axes)
One atom of each set of equivalent atoms:
Cs1 0.0000 0.0000 0.0000 (multiplicity 3)  12 Cl 3.67-3.91
Be1 0.0000 0.0000 0.2419 (multiplicity 6)  4 Cl 2.01-2.04
Hg1 0.0000 0.0000 0.5000 (multiplicity 3)  6 Cl 2.70
Cl1 0.0000 0.0000 0.3105 (multiplicity 6)  1 Be 2.01
Cl2 0.0028 0.3129 0.7786 (multiplicity 18)  1 Be 2.04


A relaxed Cs2BeHgCl6 crystal. Source: Alexandria via LeMat-Bulk, functional PBE.

DOS(E_F) in states/eV/f.u.: 0.00
Calculated volume in Å³ per cell: 602.1
Formation energy from raw total energies in eV/atom: -1.316

Lattice parameters (Å, degrees): 7.4143 7.4143 10.9534 90.00 90.00 90.00
Last column: nearest neighbours and their distance in Å.
Space group I4/mmm (No. 139)
One atom of each set of equivalent atoms:
Cs1 0.0000 0.5000 0.2500 (multiplicity 4)  12 Cl 3.73-3.82
Be1 0.0000 0.0000 0.0000 (multiplicity 2)  4 Cl 2.16
Hg1 0.0000 0.0000 0.5000 (multiplicity 2)  2 Cl 2.37
Cl1 0.0000 0.0000 0.2839 (multiplicity 4)  1 Hg 2.37
Cl2 0.2064 0.2064 0.0000 (multiplicity 8)  1 Be 2.16